La2TlIr | SCAN | single point on PBEsol structure

The structure belongs to space group R3m (No. 160, hexagonal axes); the cell edges are 3.9885, 3.9885 and 25.9308 Å and the angles 90.00°, 90.00° and 120.00°. The distinct sites, in fractional coordinates, are La at (0.0000, 0.0000, 0.0000), La at (0.0000, 0.0000, 0.2080), Tl at (0.0000, 0.0000, 0.4500) and Ir at (0.0000, 0.0000, 0.7277).

The calculation puts the formation enthalpy at 0 K at -0.17 eV/atom. The value obtained for the size of the total moment is 0.00 μB per atom. The density of states at the Fermi level comes out at 14.55 states/eV per cell. Its calculated total energy is -57.59 eV/atom.

La2TlIr | SCAN | single point on PBEsol structure

The structure belongs to space group R-3m (No. 166, hexagonal axes); the cell edges are 4.0977, 4.0977 and 24.5015 Å and the angles 90.00°, 90.00° and 120.00°. The distinct sites, in fractional coordinates, are La at (0.0000, 0.0000, 0.2315), Tl at (0.0000, 0.0000, 0.0000) and Ir at (0.0000, 0.0000, 0.5000).

The calculation puts the formation enthalpy at 0 K at -0.74 eV/atom. The value obtained for the size of the total moment is 0.00 μB per atom. The density of states at the Fermi level comes out at 5.43 states/eV per cell. Its calculated total energy is -58.16 eV/atom.

La2TlIr | SCAN | single point on PBEsol structure

The structure belongs to space group Fm-3m (No. 225); the cell edges are 7.432, 7.432 and 7.432 Å and the angles 90.00°, 90.00° and 90.00°. The distinct sites, in fractional coordinates, are La at (0.250, 0.250, 0.250), Tl at (0.000, 0.000, 0.000) and Ir at (0.000, 0.000, 0.500).

The calculation puts the formation enthalpy at 0 K at -0.55 eV/atom. The value obtained for the size of the total moment is 0.00 μB per atom. The density of states at the Fermi level comes out at 10.46 states/eV per cell. Its calculated total energy is -57.96 eV/atom.

La3TlIr | SCAN | single point on PBEsol structure

The structure belongs to space group Pm-3m (No. 221); the cell edges are 5.518, 5.518 and 5.518 Å and the angles 90.00°, 90.00° and 90.00°. The distinct sites, in fractional coordinates, are La at (0.000, 0.000, 0.500), Tl at (0.500, 0.500, 0.500) and Ir at (0.000, 0.000, 0.000).

The calculation puts the formation enthalpy at 0 K at -0.62 eV/atom. The value obtained for the size of the total moment is 0.00 μB per atom. The density of states at the Fermi level comes out at 6.47 states/eV per cell. Its calculated total energy is -55.18 eV/atom.

LaTlIr | SCAN | single point on PBEsol structure

The structure belongs to space group P3m1 (No. 156); the cell edges are 4.6879, 4.6879 and 3.7587 Å and the angles 90.00°, 90.00° and 120.00°. The distinct sites, in fractional coordinates, are La at (0.0000, 0.0000, 0.0000), Tl at (0.3333, 0.6667, 0.5000) and Ir at (0.6667, 0.3333, 0.4978).

The calculation puts the formation enthalpy at 0 K at -0.38 eV/atom. The value obtained for the size of the total moment is 0.00 μB per atom. The density of states at the Fermi level comes out at 2.76 states/eV per cell. Its calculated total energy is -62.57 eV/atom.

La3TlIr | SCAN | single point on PBEsol structure

The structure belongs to space group Cmmm (No. 65); the cell edges are 7.525, 8.995 and 8.683 Å and the angles 90.00°, 90.00° and 90.00°. The distinct sites, in fractional coordinates, are La at (0.000, 0.213, 0.000), La at (0.236, 0.500, 0.313), Tl at (0.000, 0.239, 0.500) and Ir at (0.192, 0.500, 0.000).

The calculation puts the formation enthalpy at 0 K at -0.73 eV/atom. The value obtained for the size of the total moment is 0.00 μB per atom. The density of states at the Fermi level comes out at 12.07 states/eV per cell. Its calculated total energy is -55.29 eV/atom.

La2IrW | SCAN | single point on PBEsol structure

The structure belongs to space group Amm2 (No. 38); the cell edges are 4.224, 4.618 and 10.549 Å and the angles 90.00°, 90.00° and 90.00°. The distinct sites, in fractional coordinates, are La at (0.000, 0.000, 0.000), La at (0.500, 0.000, 0.303), Ir at (0.500, 0.000, 0.591) and W at (0.000, 0.000, 0.705).

The calculation puts the formation enthalpy at 0 K at -0.12 eV/atom. The value obtained for the size of the total moment is 0.00 μB per atom. The density of states at the Fermi level comes out at 7.01 states/eV per cell. Its calculated total energy is -56.87 eV/atom.

La2IrW | SCAN | single point on PBEsol structure

The structure belongs to space group C2/m (No. 12); the cell edges are 10.149, 2.986 and 5.409 Å and the angles 90.00°, 94.84° and 90.00°. The distinct sites, in fractional coordinates, are La at (0.249, 0.000, 0.240), Ir at (0.000, 0.000, 0.000) and W at (0.000, 0.500, 0.500).

The calculation puts the formation enthalpy at 0 K at 0.60 eV/atom. The value obtained for the size of the total moment is 0.00 μB per atom. The density of states at the Fermi level comes out at 6.97 states/eV per cell. Its calculated total energy is -56.14 eV/atom.

Copy entry 3 word for word.
La2TlIr | SCAN | single point on PBEsol structure

The structure belongs to space group Fm-3m (No. 225); the cell edges are 7.432, 7.432 and 7.432 Å and the angles 90.00°, 90.00° and 90.00°. The distinct sites, in fractional coordinates, are La at (0.250, 0.250, 0.250), Tl at (0.000, 0.000, 0.000) and Ir at (0.000, 0.000, 0.500).

The calculation puts the formation enthalpy at 0 K at -0.55 eV/atom. The value obtained for the size of the total moment is 0.00 μB per atom. The density of states at the Fermi level comes out at 10.46 states/eV per cell. Its calculated total energy is -57.96 eV/atom.